[1]
La2DyCd2In2: relaxed, PBE.

Results
Its density of states at the Fermi level is 4.9 states/eV per cell. The calculation puts the magnetic moment at 0.0 μB/f.u. As for the space-group type: R-3m. The formation energy from the elements comes out at -2.11 eV/f.u. Its total energy is -3.41 eV/atom.

abc: 4.977 4.977 9.717
angles: 75.16 75.16 60.00
Positions (direct):
La 0.129 0.129 0.613
La 0.871 0.871 0.387
Dy 0.000 0.000 0.000
Cd 0.609 0.609 0.174
Cd 0.391 0.391 0.826
In 0.734 0.734 0.797
In 0.266 0.266 0.203


[2]
Ba2ZnHg2: relaxed, PBE.

Results
Its density of states at the Fermi level is 4.4 states/eV per cell. The calculation puts the magnetic moment at 0.0 μB/f.u. As for the space-group type: I4/mmm. The formation energy from the elements comes out at -1.17 eV/f.u. Its total energy is -1.38 eV/atom.

abc: 4.384 4.384 10.075
angles: 77.44 77.44 90.00
Positions (direct):
Zn 0.000 0.000 0.000
Hg 0.750 0.250 0.500
Hg 0.250 0.750 0.500
Ba 0.398 0.398 0.204
Ba 0.602 0.602 0.796


[3]
Sm4Dy6Tm19: relaxed, PBE.

Results
Its density of states at the Fermi level is 43.5 states/eV per cell. The calculation puts the magnetic moment at 0.0 μB/f.u. As for the space-group type: I23. The formation energy from the elements comes out at 11.43 eV/f.u. Its total energy is -4.14 eV/atom.

abc: 10.693 10.693 10.693
angles: 109.47 109.47 109.47
Positions (direct):
Sm 0.000 0.000 0.642
Sm 0.000 0.642 0.000
Sm 0.358 0.358 0.358
Sm 0.642 0.000 0.000
Dy 0.372 0.500 0.872
Dy 0.628 0.500 0.128
Dy 0.128 0.628 0.500
Dy 0.872 0.372 0.500
Dy 0.500 0.872 0.372
Dy 0.500 0.128 0.628
Tm 0.738 0.000 0.738
Tm 0.262 0.000 0.262
Tm 0.262 0.262 0.000
Tm 0.738 0.738 0.000
Tm 0.000 0.738 0.738
Tm 0.000 0.262 0.262
Tm 0.000 0.000 0.000
Tm 0.199 0.212 0.538
Tm 0.801 0.339 0.014
Tm 0.675 0.661 0.462
Tm 0.014 0.801 0.339
Tm 0.325 0.788 0.986
Tm 0.538 0.199 0.212
Tm 0.986 0.325 0.788
Tm 0.462 0.675 0.661
Tm 0.788 0.986 0.325
Tm 0.339 0.014 0.801
Tm 0.212 0.538 0.199
Tm 0.661 0.462 0.675


[4]
CsSrAg2: relaxed, PBE.

Results
Its density of states at the Fermi level is 1.4 states/eV per cell. The calculation puts the magnetic moment at 0.0 μB/f.u. As for the space-group type: P4/mmm. The formation energy from the elements comes out at -0.46 eV/f.u. Its total energy is -2.17 eV/atom.

abc: 4.243 4.243 8.453
angles: 90.00 90.00 90.00
Positions (direct):
Cs 0.500 0.500 0.500
Sr 0.500 0.500 0.000
Ag 0.000 0.000 0.825
Ag 0.000 0.000 0.175


[5]
Tb6Ru2Pt: relaxed, PBE.

Results
Its density of states at the Fermi level is 13.5 states/eV per cell. The calculation puts the magnetic moment at 0.0 μB/f.u. As for the space-group type: P2_1/c. The formation energy from the elements comes out at -4.04 eV/f.u. Its total energy is -6.27 eV/atom.

abc: 6.642 7.406 9.624
angles: 90.00 88.55 90.00
Positions (direct):
Tb 0.835 0.943 0.240
Tb 0.824 0.667 0.569
Tb 0.848 0.675 0.924
Tb 0.652 0.175 0.576
Tb 0.676 0.167 0.931
Tb 0.665 0.443 0.260
Tb 0.165 0.057 0.760
Tb 0.176 0.333 0.431
Tb 0.152 0.325 0.076
Tb 0.348 0.825 0.424
Tb 0.324 0.833 0.069
Tb 0.335 0.557 0.740
Ru 0.965 0.385 0.735
Ru 0.535 0.885 0.765
Ru 0.465 0.115 0.235
Ru 0.035 0.615 0.265
Pt 0.500 0.500 0.000
Pt 0.000 0.000 0.500


[6]
SeN: relaxed, PBE.

Results
The calculation puts the magnetic moment at 0.0 μB/f.u. As for the space-group type: P-1. Its total energy is -5.83 eV/atom. Its raw formation energy is 0.07 eV per atom.

abc: 3.666 3.668 8.837
angles: 99.92 102.71 90.58
Positions (direct):
Se 0.805 0.738 0.545
Se 0.195 0.262 0.455
N 0.537 0.412 0.948
N 0.463 0.588 0.052


[7]
Tb2TiIn: relaxed, PBE.

Results
Its density of states at the Fermi level is 4.4 states/eV per cell. The calculation puts the magnetic moment at 0.0 μB/f.u. As for the space-group type: P4/mmm. The formation energy from the elements comes out at -0.33 eV/f.u. Its total energy is -5.06 eV/atom.

abc: 3.477 3.477 8.529
angles: 90.00 90.00 90.00
Positions (direct):
Ti 0.500 0.500 0.000
Tb 0.000 0.000 0.756
Tb 0.000 0.000 0.244
In 0.500 0.500 0.500


[8]
Ca2Al2Ni15: relaxed, PBE.

Results
Its density of states at the Fermi level is 24.0 states/eV per cell. The calculation puts the magnetic moment at 3.2 μB/f.u. As for the space-group type: R-3m. The formation energy from the elements comes out at -3.70 eV/f.u. Its total energy is -5.36 eV/atom.

abc: 6.323 6.323 6.323
angles: 82.50 82.50 82.50
Positions (direct):
Ca 0.351 0.351 0.351
Ca 0.649 0.649 0.649
Al 0.104 0.104 0.104
Al 0.896 0.896 0.896
Ni 0.500 0.000 0.000
Ni 0.000 0.000 0.500
Ni 0.000 0.500 0.000
Ni 0.000 0.709 0.291
Ni 0.709 0.291 0.000
Ni 0.291 0.000 0.709
Ni 0.291 0.709 0.000
Ni 0.709 0.000 0.291
Ni 0.000 0.291 0.709
Ni 0.148 0.657 0.657
Ni 0.657 0.657 0.148
Ni 0.657 0.148 0.657
Ni 0.852 0.343 0.343
Ni 0.343 0.343 0.852
Ni 0.343 0.852 0.343


[9]
LuNpRe4: relaxed, PBE.

Results
Its density of states at the Fermi level is 13.1 states/eV per cell. The calculation puts the magnetic moment at 4.7 μB/f.u. As for the space-group type: F-43m. The formation energy from the elements comes out at -0.04 eV/f.u. Its total energy is -11.22 eV/atom.

abc: 5.391 5.391 5.391
angles: 60.00 60.00 60.00
Positions (direct):
Np 0.250 0.250 0.250
Re 0.625 0.625 0.124
Re 0.625 0.124 0.625
Re 0.625 0.625 0.625
Re 0.124 0.625 0.625
Lu 0.000 0.000 0.000


[10]
KV2Ag: relaxed, PBE.

Results
Its density of states at the Fermi level is 9.1 states/eV per cell. The calculation puts the magnetic moment at 7.6 μB/f.u. As for the space-group type: Fm-3m. The formation energy from the elements comes out at 5.44 eV/f.u. Its total energy is -4.19 eV/atom.

abc: 5.019 5.019 5.019
angles: 60.00 60.00 60.00
Positions (direct):
K 0.000 0.000 0.000
Ag 0.500 0.500 0.500
V 0.250 0.250 0.250
V 0.750 0.750 0.750


[11]
Pr6Ho2TmTh: relaxed, PBE.

Results
Its density of states at the Fermi level is 28.4 states/eV per cell. The calculation puts the magnetic moment at 0.0 μB/f.u. As for the space-group type: C2/c. The formation energy from the elements comes out at 1.43 eV/f.u. Its total energy is -4.83 eV/atom.

abc: 9.762 8.914 8.914
angles: 116.02 94.18 94.18
Positions (direct):
Pr 0.058 0.109 0.761
Pr 0.442 0.239 0.891
Pr 0.942 0.891 0.239
Pr 0.558 0.761 0.109
Pr 0.311 0.994 0.427
Pr 0.189 0.573 0.006
Pr 0.689 0.006 0.573
Pr 0.811 0.427 0.994
Pr 0.118 0.701 0.487
Pr 0.382 0.513 0.299
Pr 0.882 0.299 0.513
Pr 0.618 0.487 0.701
Ho 0.448 0.800 0.710
Ho 0.052 0.290 0.200
Ho 0.552 0.200 0.290
Ho 0.948 0.710 0.800
Tm 0.250 0.409 0.591
Tm 0.750 0.591 0.409
Th 0.250 0.970 0.030
Th 0.750 0.030 0.970


[12]
Ta2InSi: relaxed, PBE.

Results
Its density of states at the Fermi level is 2.7 states/eV per cell. The calculation puts the magnetic moment at 0.0 μB/f.u. As for the space-group type: Cmm2. Its total energy is -7.79 eV/atom. Its raw formation energy is 0.17 eV per atom.

abc: 2.956 2.956 8.752
angles: 90.00 90.00 103.42
Positions (direct):
In 0.000 0.000 0.504
Si 0.500 0.500 0.775
Ta 0.000 0.000 0.985
Ta 0.500 0.500 0.236


[13]
KLiSn2Cl6: relaxed, PBE.

Results
Its density of states at the Fermi level is 0.0 states/eV per cell. The calculation puts the magnetic moment at 0.0 μB/f.u. As for the space-group type: P1. Its total energy is -3.56 eV/atom. Its raw formation energy is -1.35 eV per atom.

abc: 7.827 7.618 8.124
angles: 57.27 58.50 53.57
Positions (direct):
K 0.786 0.816 0.581
Li 0.341 0.323 0.029
Sn 0.487 0.553 0.451
Sn 0.972 0.010 0.971
Cl 0.586 0.223 0.216
Cl 0.204 0.950 0.273
Cl 0.981 0.606 0.222
Cl 0.404 0.697 0.726
Cl 0.710 0.081 0.813
Cl 0.189 0.403 0.731


[14]
CuPbBr2: relaxed, PBE.

Results
Its density of states at the Fermi level is 3.3 states/eV per cell. The calculation puts the magnetic moment at 0.3 μB/f.u. As for the space-group type: C2/m. Its total energy is -3.07 eV/atom. Its raw formation energy is -0.29 eV per atom.

abc: 3.794 3.794 9.083
angles: 95.64 95.64 57.80
Positions (direct):
Br 0.136 0.136 0.917
Br 0.364 0.364 0.583
Cu 0.750 0.750 0.750
Pb 0.250 0.250 0.250


[15]
DyHo3Cd: relaxed, PBE.

Results
Its density of states at the Fermi level is 14.4 states/eV per cell. The calculation puts the magnetic moment at 0.0 μB/f.u. As for the space-group type: C2/m. The formation energy from the elements comes out at -0.54 eV/f.u. Its total energy is -3.96 eV/atom.

abc: 3.630 6.681 12.575
angles: 86.13 90.01 74.23
Positions (direct):
Dy 0.233 0.535 0.755
Dy 0.767 0.465 0.245
Ho 0.146 0.708 0.445
Ho 0.366 0.269 0.021
Ho 0.035 0.930 0.189
Ho 0.854 0.292 0.555
Ho 0.965 0.070 0.811
Ho 0.634 0.731 0.979
Cd 0.559 0.881 0.627
Cd 0.441 0.119 0.373


[16]
NpZn11Fe: relaxed, PBE.

Results
Its density of states at the Fermi level is 16.3 states/eV per cell. The calculation puts the magnetic moment at 6.6 μB/f.u. As for the space-group type: C2/m. The formation energy from the elements comes out at -0.10 eV/f.u. Its total energy is -2.73 eV/atom.

abc: 5.098 6.783 6.812
angles: 82.01 68.03 68.18
Positions (direct):
Np 0.000 0.000 0.000
Zn 0.288 0.219 0.215
Zn 0.712 0.781 0.785
Zn 0.497 0.781 0.215
Zn 0.503 0.219 0.785
Zn 0.368 0.642 0.656
Zn 0.632 0.358 0.344
Zn 0.975 0.358 0.656
Zn 0.025 0.642 0.344
Zn 0.000 0.500 0.000
Zn 0.500 0.000 0.500
Zn 0.000 0.000 0.500
Fe 0.500 0.500 0.000


[17]
Sr3Sm3TmS8: relaxed, PBE.

Results
Its density of states at the Fermi level is 4.6 states/eV per cell. The calculation puts the magnetic moment at 0.0 μB/f.u. As for the space-group type: R-3m. Its total energy is -5.86 eV/atom. Its raw formation energy is -2.09 eV per atom.

abc: 8.111 8.112 8.336
angles: 119.11 90.00 120.00
Positions (direct):
Sr 0.000 0.000 0.000
Sr 0.000 0.500 0.000
Sr 0.500 0.500 0.000
Sm 0.500 0.000 0.500
Sm 0.500 0.500 0.500
Sm 0.000 0.500 0.500
Tm 0.000 0.000 0.500
S 0.255 0.509 0.264
S 0.745 0.491 0.736
S 0.764 0.529 0.276
S 0.236 0.471 0.724
S 0.764 0.012 0.276
S 0.236 0.988 0.724
S 0.248 0.012 0.276
S 0.752 0.988 0.724


[18]
TlAgC: relaxed, PBE.

Results
Its density of states at the Fermi level is 0.7 states/eV per cell. The calculation puts the magnetic moment at 0.0 μB/f.u. As for the space-group type: Pm. The formation energy from the elements comes out at 2.08 eV/f.u. Its total energy is -4.12 eV/atom.

abc: 4.212 4.056 9.101
angles: 116.38 89.97 90.00
Positions (direct):
Tl 0.495 0.716 0.865
Tl 0.496 0.150 0.297
C 0.995 0.840 0.488
C 0.995 0.686 0.333
Ag 0.995 0.094 0.743
Ag 0.996 0.423 0.070


[19]
SrCaCl2: relaxed, PBE.

Results
Its density of states at the Fermi level is 1.3 states/eV per cell. The calculation puts the magnetic moment at 0.0 μB/f.u. As for the space-group type: R-3m. Its total energy is -3.51 eV/atom. Its raw formation energy is -1.66 eV per atom.

abc: 8.951 8.951 8.951
angles: 28.43 28.43 28.43
Positions (direct):
Sr 0.000 0.000 0.000
Ca 0.500 0.500 0.500
Cl 0.882 0.882 0.882
Cl 0.118 0.118 0.118


[20]
Na5CdSn: relaxed, PBE.

Results
Its density of states at the Fermi level is 5.1 states/eV per cell. The calculation puts the magnetic moment at 0.0 μB/f.u. As for the space-group type: C2/c. The formation energy from the elements comes out at -0.27 eV/f.u. Its total energy is -1.68 eV/atom.

abc: 6.512 6.512 11.717
angles: 82.32 82.32 58.12
Positions (direct):
Na 0.716 0.826 0.189
Na 0.386 0.329 0.530
Na 0.826 0.716 0.689
Na 0.214 0.786 0.250
Na 0.671 0.614 0.970
Na 0.329 0.386 0.030
Na 0.786 0.214 0.750
Na 0.174 0.284 0.311
Na 0.614 0.671 0.470
Na 0.284 0.174 0.811
Cd 0.704 0.296 0.250
Cd 0.296 0.704 0.750
Sn 0.000 0.000 0.000
Sn 0.000 0.000 0.500